[1]
First-principles (PBE) data for crystalline Zn2InNi at its relaxed geometry, as listed in Alexandria via LeMat-Bulk.

Density of states at the Fermi level   1.6 states/eV/cell
ΔH_f (0 K)   0.2 eV per formula unit
SG   F-43m (216)
E   -2.717 eV per atom

abc: 4.4286 4.4286 4.4286
angles: 60.00 60.00 60.00
Fractional positions:
1 In 0.5000 0.5000 0.5000
2 Ni 0.7500 0.7500 0.7500
3 Zn 0.0000 0.0000 0.0000
4 Zn 0.2500 0.2500 0.2500

***

[2]
First-principles (PBE) data for crystalline Be2Ni at its relaxed geometry, as listed in Alexandria via LeMat-Bulk.

Density of states at the Fermi level   0.9 states/eV/cell
ΔH_f (0 K)   0.6 eV per formula unit
SG   Fm-3m (225)
E   -4.224 eV per atom

abc: 3.5639 3.5639 3.5639
angles: 60.00 60.00 60.00
Fractional positions:
1 Ni 0.0000 0.0000 0.0000
2 Be 0.7500 0.7500 0.7500
3 Be 0.2500 0.2500 0.2500

***

[3]
First-principles (PBE) data for crystalline BeRuPb2 at its relaxed geometry, as listed in Alexandria via LeMat-Bulk.

Density of states at the Fermi level   3.0 states/eV/cell
E above lowest polymorph   723 meV per atom
ΔH_f (0 K)   3.6 eV per formula unit
SG   F-43m (216)
E   -4.212 eV per atom

abc: 4.8680 4.8680 4.8680
angles: 60.00 60.00 60.00
Fractional positions:
1 Pb 0.0000 0.0000 0.0000
2 Pb 0.7500 0.7500 0.7500
3 Ru 0.2500 0.2500 0.2500
4 Be 0.5000 0.5000 0.5000

***

[4]
First-principles (PBE) data for crystalline YNbVGa2 at its relaxed geometry, as listed in Alexandria via LeMat-Bulk.

Density of states at the Fermi level   3.8 states/eV/cell
ΔH_f (0 K)   1.7 eV per formula unit
SG   P4/mmm (123)
E   -6.007 eV per atom

abc: 5.0272 4.5318 5.0272
angles: 90.00 90.00 90.00
Site moments in Bohr magnetons follow the coordinates.
Fractional positions:
1 Y 0.5000 0.5000 0.5000  0.05
2 Nb 0.0000 0.0000 0.0000  -0.19
3 Ga 0.0000 0.0000 0.5000  -0.03
4 Ga 0.5000 0.0000 0.0000  -0.02
5 V 0.0000 0.5000 0.0000  1.00